Arrangement i

Entry from the Alexandria database: a relaxed structure of TiNb3In (PBE).

Calculated values
The value obtained for the calculated volume is 374 Å³ per cell.

a b c (Å): 4.7468 5.8108 14.3030
angles (deg): 108.68 90.00 90.00
Last column: nearest neighbours and their distance in Å.
Sites, in units of the cell vectors:
1 Nb 0.2500 0.3062 0.4601  3 Nb 2.67-2.92, 4 Ti 2.81-2.94, 1 In 2.96
2 Nb 0.2500 0.1162 0.6473  3 Ti 2.68-2.94, 3 Nb 2.88-2.91, 2 In 2.98
3 Nb 0.2500 0.8838 0.8527  3 Ti 2.68-2.94, 3 Nb 2.88-2.91, 2 In 2.98
4 Nb 0.2500 0.6145 0.6446  6 Nb 2.67-2.92
5 Ti 0.2500 0.1873 0.0387  7 Nb 2.68-2.94, 1 In 2.99
6 Nb 0.7500 0.3062 0.9601  3 Nb 2.67-2.92, 4 Ti 2.81-2.94, 1 In 2.96
7 Nb 0.7500 0.6938 0.5399  3 Nb 2.67-2.92, 4 Ti 2.81-2.94, 1 In 2.96
8 In 0.2500 0.5000 0.2500  2 In 2.91, 2 Ti 2.99, 4 Nb 3.00
9 In 0.2499 0.0000 0.2500  2 In 2.91, 6 Nb 2.96-2.98
10 Nb 0.7500 0.8838 0.3527  3 Ti 2.68-2.94, 3 Nb 2.88-2.91, 2 In 2.98
11 Ti 0.7500 0.1873 0.5387  7 Nb 2.68-2.94, 1 In 2.99
12 In 0.7501 0.0000 0.7500  2 In 2.91, 6 Nb 2.96-2.98
13 Nb 0.2500 0.3855 0.8554  6 Nb 2.67-2.92
14 Nb 0.7500 0.6145 0.1446  6 Nb 2.67-2.92
15 Nb 0.7500 0.1162 0.1473  3 Ti 2.68-2.94, 3 Nb 2.88-2.91, 2 In 2.98
16 Ti 0.7500 0.8127 0.9613  7 Nb 2.68-2.94, 1 In 2.99
17 In 0.7500 0.5000 0.7500  2 In 2.91, 2 Ti 2.99, 4 Nb 3.00
18 Ti 0.2500 0.8127 0.4613  7 Nb 2.68-2.94, 1 In 2.99
19 Nb 0.2500 0.6938 0.0399  3 Nb 2.67-2.92, 4 Ti 2.81-2.94, 1 In 2.96
20 Nb 0.7500 0.3855 0.3554  6 Nb 2.67-2.92

Arrangement ii

Entry from the Alexandria database: a relaxed structure of TiNb3In (PBE).

Calculated values
The value obtained for the calculated volume is 106 Å³ per cell.

a b c (Å): 4.7362 4.7362 4.7362
angles (deg): 90.00 90.00 90.00
Last column: nearest neighbours and their distance in Å.
Sites, in units of the cell vectors:
1 Ti 0.0000 0.0000 0.0000  6 Nb 2.37
2 Nb 0.0000 0.0000 0.5000  2 Ti 2.37
3 In 0.5000 0.5000 0.5000  12 Nb 3.35
4 Nb 0.5000 0.0000 0.0000  2 Ti 2.37
5 Nb 0.0000 0.5000 0.0000  2 Ti 2.37

Which is most stable? The ranking, best first, is arrangement i, arrangement ii.